Entry 1:
{
  "formula": "Li4TlCd2Ge",
  "functional": "PBE",
  "state": "optimized geometry",
  "cell": [[4.646, 0.000, 0.000], [0.000, 4.646, 0.000], [0.000, 0.000, 6.766]],
  "species": ["Li", "Li", "Li", "Li", "Tl", "Cd", "Cd", "Ge"],
  "fractional_positions": [[0.000, 0.000, 0.000], [0.000, 0.500, 0.736], [0.500, 0.000, 0.264], [0.500, 0.500, 0.500], [0.500, 0.500, 0.000], [0.000, 0.500, 0.263], [0.500, 0.000, 0.737], [0.000, 0.000, 0.500]],
  "sg": "P-4m2"
}

Entry 2:
{
  "formula": "BeSnHgPt",
  "functional": "PBE",
  "state": "optimized geometry",
  "cell": [[6.632, 0.000, 0.000], [0.000, 6.632, 0.000], [0.000, 0.000, 6.632]],
  "species": ["Be", "Be", "Be", "Be", "Sn", "Sn", "Sn", "Sn", "Hg", "Hg", "Hg", "Hg", "Pt", "Pt", "Pt", "Pt"],
  "fractional_positions": [[0.000, 0.000, 0.000], [0.000, 0.500, 0.500], [0.500, 0.000, 0.500], [0.500, 0.500, 0.000], [0.000, 0.000, 0.500], [0.000, 0.500, 0.000], [0.500, 0.000, 0.000], [0.500, 0.500, 0.500], [0.250, 0.250, 0.750], [0.250, 0.750, 0.250], [0.750, 0.250, 0.250], [0.750, 0.750, 0.750], [0.250, 0.250, 0.250], [0.250, 0.750, 0.750], [0.750, 0.250, 0.750], [0.750, 0.750, 0.250]],
  "sg": "F-43m",
  "e_above_lowest_polymorph_mev_per_atom": 0.0
}

Entry 3:
{
  "formula": "Tb2GdIn3Ni3",
  "functional": "PBE",
  "state": "optimized geometry",
  "cell": [[3.836, 0.000, 0.000], [0.000, 6.449, 3.725], [0.000, -6.449, 3.725]],
  "species": ["Tb", "Tb", "Gd", "In", "In", "In", "Ni", "Ni", "Ni"],
  "fractional_positions": [[0.000, 0.206, 0.794], [0.000, 0.794, 0.206], [0.000, 0.618, 0.618], [0.500, 0.206, 0.458], [0.500, 0.458, 0.206], [0.500, 0.954, 0.954], [0.000, 0.206, 0.206], [0.500, 0.539, 0.873], [0.500, 0.873, 0.539]],
  "sg": "Amm2"
}

Computed electronic total energy (eV per atom) in order:
-2.31 -3.25 -4.82
Computed mass density (g/cm3) in order:
6.02 11.92 8.97